Material: La8FeRh3I4
Method: DFT, PBE
State: relaxed

Output
DFT total energy, eV for the cell shown: -90.7
Volume, Å³ per atom: 31.65
E_form (uncorrected), eV/atom: -0.9131
Density of states at the Fermi level, states/eV per cell: 7.61

Unit cell a=8.409 b=9.586 c=8.410 alpha=115.99 beta=120.00 gamma=90.00
Positions (direct):
La: 0.222 0.685 0.962
La: 0.222 0.685 0.445
La: 0.272 0.315 0.544
La: 0.740 0.685 0.962
La: 0.260 0.315 0.038
La: 0.728 0.685 0.456
La: 0.778 0.315 0.555
La: 0.778 0.315 0.038
Fe: 0.000 0.500 0.000
Rh: 0.500 0.500 0.000
Rh: 0.500 0.500 0.500
Rh: 0.000 0.500 0.500
I: 0.500 0.000 0.000
I: 0.500 0.000 0.500
I: 0.000 0.000 0.000
I: 0.000 0.000 0.500



Material: La6FeS2I3
Method: DFT, PBE
State: relaxed

Output
DFT total energy, eV for the cell shown: -65.7
Volume, Å³ per atom: 30.59
E_form (uncorrected), eV/atom: -1.2337
Density of states at the Fermi level, states/eV per cell: 10.99

Unit cell a=7.366 b=7.366 c=8.181 alpha=99.25 beta=99.25 gamma=119.28
Positions (direct):
La: 0.935 0.628 0.812
La: 0.736 0.736 0.202
La: 0.065 0.372 0.188
La: 0.628 0.935 0.812
La: 0.264 0.264 0.798
La: 0.372 0.065 0.188
Fe: 0.000 0.000 0.000
S: 0.331 0.669 0.000
S: 0.669 0.331 0.000
I: 0.175 0.825 0.500
I: 0.825 0.175 0.500
I: 0.500 0.500 0.500